Entry 1:
A relaxed structure of Ce2HoHg4. Source: Alexandria, functional PBE-GGA.

Lattice parameters (Å, degrees): 9.933 9.933 3.393 90.00 90.00 145.49
Fractional coordinates of all 7 atoms:
Ce 0.070 0.930 0.000
Ce 0.930 0.070 0.000
Ho 0.500 0.500 0.500
Hg 0.216 0.784 0.500
Hg 0.356 0.644 0.000
Hg 0.644 0.356 0.000
Hg 0.784 0.216 0.500

The density of states at the Fermi level comes out at 11.024 states/eV per cell. Its space group is Cmmm. The energy is -18.33 eV per formula unit. The distance to the lowest polymorph of the same formula comes out at 0.130 eV per atom.

***

Entry 2:
A relaxed structure of Tl2ZnPt. Source: Alexandria, functional PBE-GGA.

Lattice parameters (Å, degrees): 4.117 4.138 5.542 90.00 109.64 90.00
Fractional coordinates of all 4 atoms:
Tl 0.000 0.000 0.000
Tl 0.297 0.500 0.601
Zn 0.569 0.500 0.156
Pt 0.729 0.000 0.439

The density of states at the Fermi level comes out at 1.112 states/eV per cell. Its space group is Pm. The energy is -12.20 eV per formula unit. The distance to the lowest polymorph of the same formula comes out at 0.038 eV per atom.

***

> Among the records above, which one has the lowest energy?

Ce2HoHg4